1.
Ca5MgAl: optimized geometry, PBE-GGA.

Properties
**Raw total energy**: -30.75 eV/cell
**Size of the total moment**: 0.000 μB/atom

abc: 5.7298 5.7298 14.8663
angles: 89.99 89.99 84.10
Sites, in units of the cell vectors:
Ca: 0.8983 0.5405 0.1092
Ca: 0.1022 0.4597 0.6091
Ca: 0.5405 0.8983 0.6092
Ca: 0.9697 0.0303 0.2500
Ca: 0.5403 0.8978 0.8909
Ca: 0.4597 0.1022 0.1091
Ca: 0.0303 0.9697 0.7500
Ca: 0.4595 0.1017 0.3908
Ca: 0.8978 0.5403 0.3909
Ca: 0.1017 0.4595 0.8908
Mg: 0.4138 0.5862 0.2500
Mg: 0.5862 0.4138 0.7500
Al: 0.0000 0.0000 0.0000
Al: 0.0000 0.0000 0.5000



2.
Ca8Mg2Al: optimized geometry, PBE-GGA.

Properties
**Raw total energy**: -23.42 eV/cell
**Size of the total moment**: 0.000 μB/atom

abc: 5.4492 8.0468 10.1067
angles: 113.46 105.64 90.00
Sites, in units of the cell vectors:
Ca: 0.6363 0.2254 0.9091
Ca: 0.9847 0.0227 0.6057
Ca: 0.2881 0.3261 0.2125
Ca: 0.7405 0.9580 0.1176
Ca: 0.3469 0.8633 0.3300
Ca: 0.9260 0.4425 0.4882
Ca: 0.1361 0.5601 0.9091
Ca: 0.5321 0.7495 0.7006
Mg: 0.7933 0.6035 0.2229
Mg: 0.4796 0.2898 0.5953
Al: 0.1363 0.9592 0.9091



3.
CaMg6Al: optimized geometry, PBE-GGA.

Properties
**Raw total energy**: -15.26 eV/cell
**Distance to the lowest polymorph of the same formula**: 4 meV/atom
**Size of the total moment**: 0.000 μB/atom

abc: 6.6299 6.6299 5.0779
angles: 90.00 90.00 120.87
Sites, in units of the cell vectors:
Ca: 0.3237 0.6763 0.5000
Mg: 0.1661 0.3196 0.0000
Mg: 0.6804 0.8339 0.0000
Mg: 0.6725 0.3275 0.0000
Mg: 0.3252 0.1663 0.5000
Mg: 0.8337 0.6748 0.5000
Mg: 0.8370 0.1630 0.5000
Al: 0.1614 0.8386 0.0000



4.
CaMgAl2: optimized geometry, PBE-GGA.

Properties
**Raw total energy**: -10.71 eV/cell
**Size of the total moment**: 0.000 μB/atom

abc: 9.9822 9.9822 9.9822
angles: 19.14 19.14 19.14
Sites, in units of the cell vectors:
Al: 0.0049 0.0049 0.0049
Al: 0.4951 0.4951 0.4951
Ca: 0.2500 0.2500 0.2500
Mg: 0.7500 0.7500 0.7500



5.
CaMgAl2: optimized geometry, PBE-GGA.

Properties
**Raw total energy**: -11.16 eV/cell
**Size of the total moment**: 0.000 μB/atom

abc: 4.9713 4.9713 4.9713
angles: 60.00 60.00 60.00
Sites, in units of the cell vectors:
Al: 0.0000 0.0000 0.0000
Al: 0.2500 0.2500 0.2500
Ca: 0.5000 0.5000 0.5000
Mg: 0.7500 0.7500 0.7500



6.
CaMgAl2: optimized geometry, PBE-GGA.

Properties
**Raw total energy**: -11.26 eV/cell
**Size of the total moment**: 0.000 μB/atom

abc: 7.0466 5.4691 3.1641
angles: 90.12 63.11 120.89
Sites, in units of the cell vectors:
Al: 0.0000 0.0000 0.0000
Al: 0.5000 0.0000 0.5000
Ca: 0.0000 0.5000 0.5000
Mg: 0.5000 0.5000 0.0000



7.
CaMgAl2: optimized geometry, PBE-GGA.

Properties
**Raw total energy**: -11.55 eV/cell
**Size of the total moment**: 0.000 μB/atom

abc: 3.4931 3.5340 8.0572
angles: 63.90 90.00 90.00
Sites, in units of the cell vectors:
Al: 0.0000 0.0424 0.9573
Al: 0.0000 0.4576 0.5427
Ca: 0.5000 0.2500 0.2500
Mg: 0.5000 0.7500 0.7500



8.
Ca2MgAlN: optimized geometry, PBE-GGA.

Properties
**Raw total energy**: -19.81 eV/cell
**Size of the total moment**: 0.000 μB/atom

abc: 4.9869 4.9869 4.2403
angles: 90.00 90.00 90.00
Sites, in units of the cell vectors:
Mg: 0.0000 0.0000 0.5000
Ca: 0.0000 0.5000 0.0000
Ca: 0.5000 0.0000 0.0000
Al: 0.5000 0.5000 0.5000
N: 0.0000 0.0000 0.0000



9.
NaCaMgAl: optimized geometry, PBE-GGA.

Properties
**Raw total energy**: -8.82 eV/cell
**Size of the total moment**: 0.000 μB/atom

abc: 5.2058 5.2058 5.2058
angles: 60.00 60.00 60.00
Sites, in units of the cell vectors:
Mg: 0.7500 0.7500 0.7500
Na: 0.0000 0.0000 0.0000
Ca: 0.2500 0.2500 0.2500
Al: 0.5000 0.5000 0.5000



10.
CaNdMgAl: optimized geometry, PBE-GGA.

Properties
**Raw total energy**: -12.96 eV/cell
**Size of the total moment**: 0.000 μB/atom

abc: 5.3780 5.3780 5.3780
angles: 60.00 60.00 60.00
Sites, in units of the cell vectors:
Mg: 0.0000 0.0000 0.0000
Ca: 0.7500 0.7500 0.7500
Nd: 0.2500 0.2500 0.2500
Al: 0.5000 0.5000 0.5000



11.
CaMg2AlNi: optimized geometry, PBE-GGA.

Properties
**Raw total energy**: -15.51 eV/cell
**Size of the total moment**: 0.000 μB/atom

abc: 4.8751 4.8751 4.6445
angles: 90.00 90.00 90.00
Sites, in units of the cell vectors:
Mg: 0.0000 0.5000 0.0000
Mg: 0.5000 0.0000 0.0000
Ni: 0.0000 0.0000 0.0000
Ca: 0.5000 0.5000 0.5000
Al: 0.0000 0.0000 0.5000



12.
CaMgAl2Ni: optimized geometry, PBE-GGA.

Properties
**Raw total energy**: -18.07 eV/cell
**Size of the total moment**: 0.000 μB/atom

abc: 4.6094 4.6094 4.8015
angles: 90.00 90.00 90.00
Sites, in units of the cell vectors:
Mg: 0.0000 0.0000 0.5000
Ni: 0.0000 0.0000 0.0000
Ca: 0.5000 0.5000 0.5000
Al: 0.0000 0.5000 0.0000
Al: 0.5000 0.0000 0.0000



13.
Ca2MgAl2Ni5: optimized geometry, PBE-GGA.

Properties
**Raw total energy**: -88.08 eV/cell
**Size of the total moment**: 0.000 μB/atom

abc: 3.2591 9.9653 9.9653
angles: 90.00 90.00 90.00
Sites, in units of the cell vectors:
Ca: 0.0000 0.6763 0.1763
Ca: 0.0000 0.3237 0.8237
Ca: 0.0000 0.1763 0.3237
Ca: 0.0000 0.8237 0.6763
Mg: 0.0000 0.0000 0.0000
Mg: 0.0000 0.5000 0.5000
Al: 0.0000 0.1217 0.6217
Al: 0.0000 0.8783 0.3783
Al: 0.0000 0.6217 0.8783
Al: 0.0000 0.3783 0.1217
Ni: 0.5000 0.2096 0.0611
Ni: 0.5000 0.7904 0.9389
Ni: 0.5000 0.0611 0.7904
Ni: 0.5000 0.7096 0.4389
Ni: 0.5000 0.9389 0.2096
Ni: 0.5000 0.2904 0.5611
Ni: 0.5000 0.5611 0.7096
Ni: 0.5000 0.4389 0.2904
Ni: 0.5000 0.5000 0.0000
Ni: 0.5000 0.0000 0.5000



14.
CaMg2AlO: optimized geometry, PBE-GGA.

Properties
**Raw total energy**: -17.00 eV/cell
**Size of the total moment**: 0.000 μB/atom

abc: 4.3214 5.3615 4.3214
angles: 90.00 90.00 90.00
Sites, in units of the cell vectors:
Mg: 0.0000 0.0000 0.5000
Mg: 0.5000 0.0000 0.0000
Ca: 0.5000 0.5000 0.5000
Al: 0.0000 0.5000 0.0000
O: 0.0000 0.0000 0.0000



15.
Ca2MgAlO: optimized geometry, PBE-GGA.

Properties
**Raw total energy**: -20.05 eV/cell
**Size of the total moment**: 0.000 μB/atom

abc: 4.8702 4.8702 4.3126
angles: 90.00 90.00 90.00
Sites, in units of the cell vectors:
Mg: 0.0000 0.0000 0.5000
Ca: 0.0000 0.5000 0.0000
Ca: 0.5000 0.0000 0.0000
Al: 0.5000 0.5000 0.5000
O: 0.0000 0.0000 0.0000



16.
CaMg2AlOs: optimized geometry, PBE-GGA.

Properties
**Raw total energy**: -14.05 eV/cell
**Size of the total moment**: 0.487 μB/atom

abc: 4.9718 5.5323 4.9718
angles: 90.00 90.00 90.00
Sites, in units of the cell vectors:
Mg: 0.0000 0.0000 0.5000
Mg: 0.5000 0.0000 0.0000
Ca: 0.0000 0.5000 0.0000
Os: 0.5000 0.5000 0.5000
Al: 0.0000 0.0000 0.0000



17.
CaMgAlPb: optimized geometry, PBE-GGA.

Properties
**Raw total energy**: -11.58 eV/cell
**Size of the total moment**: 0.000 μB/atom

abc: 5.2357 5.2357 5.2357
angles: 60.00 60.00 60.00
Sites, in units of the cell vectors:
Pb: 0.7500 0.7500 0.7500
Ca: 0.5000 0.5000 0.5000
Mg: 0.0000 0.0000 0.0000
Al: 0.2500 0.2500 0.2500



18.
Ca2MgAl12Pd3: optimized geometry, PBE-GGA.

Properties
**Raw total energy**: -66.51 eV/cell
**Size of the total moment**: 0.000 μB/atom

abc: 7.9430 7.9430 7.9430
angles: 68.32 68.32 68.32
Sites, in units of the cell vectors:
Ca: 0.5939 0.5939 0.5939
Ca: 0.4061 0.4061 0.4061
Mg: 0.0000 0.0000 0.0000
Al: 0.2571 0.2571 0.8523
Al: 0.8566 0.8566 0.3798
Al: 0.3798 0.8566 0.8566
Al: 0.8523 0.2571 0.2571
Al: 0.8566 0.3798 0.8566
Al: 0.2571 0.8523 0.2571
Al: 0.7429 0.7429 0.1477
Al: 0.1434 0.1434 0.6202
Al: 0.6202 0.1434 0.1434
Al: 0.1477 0.7429 0.7429
Al: 0.1434 0.6202 0.1434
Al: 0.7429 0.1477 0.7429
Pd: 0.5000 0.0000 0.0000
Pd: 0.0000 0.5000 0.0000
Pd: 0.0000 0.0000 0.5000



19.
CaMgAl2Pd2: optimized geometry, PBE-GGA.

Properties
**Raw total energy**: -25.48 eV/cell
**Size of the total moment**: 0.000 μB/atom

abc: 4.4189 4.4189 6.9789
angles: 90.00 90.00 120.00
Sites, in units of the cell vectors:
Ca: 0.0000 0.0000 0.0000
Mg: 0.0000 0.0000 0.5000
Al: 0.3333 0.6667 0.6953
Al: 0.6667 0.3333 0.3047
Pd: 0.3333 0.6667 0.3121
Pd: 0.6667 0.3333 0.6879



20.
Ca2MgAlPd6: optimized geometry, PBE-GGA.

Properties
**Raw total energy**: -46.44 eV/cell
**Size of the total moment**: 0.000 μB/atom

abc: 8.8811 5.6422 6.6470
angles: 64.99 45.20 90.07
Sites, in units of the cell vectors:
Ca: 0.2432 0.7481 0.5039
Ca: 0.7568 0.2519 0.4961
Mg: 0.0000 0.0000 0.0000
Al: 0.5000 0.5000 0.0000
Pd: 0.3228 0.8051 0.8774
Pd: 0.6765 0.6830 0.1228
Pd: 0.0639 0.2470 0.5058
Pd: 0.6772 0.1949 0.1226
Pd: 0.3235 0.3170 0.8772
Pd: 0.9361 0.7530 0.4942